No. 1
# MgRuPb

MgRuPb at its PBEsol-relaxed geometry (meta-GGA SCAN, Alexandria via LeMat-Bulk).

Cell lengths 6.2516, 6.2516, 6.2516 Å; angles 90.00, 90.00, 90.00 degrees
Closest atoms and distances in Å follow each position.
Element x y z (fractional)
Mg1 0.0000 0.0000 0.0000  4 Pb 2.71, 4 Ru 2.71
Mg2 0.0000 0.5000 0.5000  4 Pb 2.71, 4 Ru 2.71
Mg3 0.5000 0.0000 0.5000  4 Pb 2.71, 4 Ru 2.71
Mg4 0.5000 0.5000 0.0000  4 Pb 2.71, 4 Ru 2.71
Ru1 0.2500 0.2500 0.7500  4 Mg 2.71
Ru2 0.2500 0.7500 0.2500  4 Mg 2.71
Ru3 0.7500 0.2500 0.2500  4 Mg 2.71
Ru4 0.7500 0.7500 0.7500  4 Mg 2.71
Pb1 0.2500 0.2500 0.2500  4 Mg 2.71
Pb2 0.2500 0.7500 0.7500  4 Mg 2.71
Pb3 0.7500 0.2500 0.7500  4 Mg 2.71
Pb4 0.7500 0.7500 0.2500  4 Mg 2.71

Values from the calculation:
Calculated formation energy: 597 meV/atom
Total energy: -37.930 eV/atom
DOS(E_F): 0.555 states/eV per atom
Total moment: 0.00 μB per cell


No. 2
# Mg2RuPb

Mg2RuPb at its PBEsol-relaxed geometry (meta-GGA SCAN, Alexandria via LeMat-Bulk).

Cell lengths 3.4561, 3.4561, 6.2824 Å; angles 90.00, 90.00, 90.00 degrees
Closest atoms and distances in Å follow each position.
Element x y z (fractional)
Mg1 0.0000 0.0000 0.0000  4 Ru 2.76, 1 Pb 2.82, 4 Mg 2.96
Mg2 0.5000 0.5000 0.2647  1 Ru 2.94, 4 Mg 2.96, 4 Pb 3.03
Ru1 0.5000 0.5000 0.7965  5 Mg 2.76-2.94, 4 Pb 2.89
Pb1 0.0000 0.0000 0.5508  5 Mg 2.82-3.03, 4 Ru 2.89

Values from the calculation:
Calculated formation energy: 38 meV/atom
Total energy: -30.101 eV/atom
DOS(E_F): 0.436 states/eV per atom
Total moment: 0.00 μB per cell